The following is a DFT calculation (PBE with a Hubbard U) of Pb2W3O10 after structural relaxation.

## Properties
Total magnetic moment   2.0 μB per formula unit
Electronic total energy   -105.50 eV/f.u.
Fermi-level density of states   0.000 states/eV/atom

Cell lengths 18.782, 6.185, 7.817 Å; angles 90.00, 112.80, 90.00 degrees
Space group Cm (No. 8)
Inequivalent atoms, fractional coordinates:
Pb: 0.000 0.000 0.000
Pb: 0.094 0.000 0.623
Pb: 0.194 0.500 0.910
Pb: 0.315 0.500 0.585
W: 0.088 0.500 0.316
W: 0.214 0.000 0.264
W: 0.320 0.000 0.807
W: 0.402 0.251 0.287
W: 0.488 0.000 0.768
O: 0.010 0.260 0.312
O: 0.041 0.500 0.049
O: 0.044 0.249 0.768
O: 0.135 0.500 0.572
O: 0.156 0.237 0.298
O: 0.173 0.000 0.014
O: 0.262 0.235 0.822
O: 0.277 0.000 0.546
O: 0.298 0.224 0.271
O: 0.378 0.000 0.096
O: 0.384 0.500 0.109
O: 0.404 0.211 0.795
O: 0.422 0.500 0.470
O: 0.431 0.000 0.478